1.
TaAgMo2 | PBE | optimized geometry

Summary:
* total magnetic moment: 0.0 μB/f.u.
* E above lowest polymorph: 146 meV per atom
* calculated volume: 17.00 A^3/atom
* crystal system: monoclinic
* E_tot: -8.773 eV/atom
* calculated density: 11.7 Mg/m³

a b c (Å): 4.641 2.731 5.457
angles (deg): 79.46 90.00 90.00
Element x y z (fractional)
Mo  0.000  0.980  0.020
Mo  0.000  0.520  0.480
Ta  0.500  0.250  0.250
Ag  0.500  0.750  0.750

***

2.
CdCo2PbI | PBE | optimized geometry

Summary:
* total magnetic moment: 2.1 μB/f.u.
* formation energy from raw total energies: 527 kJ/mol of formula units
* calculated volume: 26.63 A^3/atom
* crystal system: tetragonal
* E_tot: -2.985 eV/atom
* calculated density: 7.0 Mg/m³

a b c (Å): 4.662 6.126 4.662
angles (deg): 90.00 90.00 90.00
Site moments in Bohr magnetons follow the coordinates.
Element x y z (fractional)
Pb  0.500  0.500  0.500  -0.05
Co  0.000  0.000  0.500  1.13
Co  0.500  0.000  0.000  1.21
Cd  0.000  0.500  0.000  0.00
I  0.000  0.000  0.000  0.01

***

3.
Y2AsIr | PBE | optimized geometry

Summary:
* total magnetic moment: 0.0 μB/f.u.
* calculated volume: 24.16 A^3/atom
* crystal system: tetragonal
* E_tot: -7.513 eV/atom
* calculated density: 7.6 Mg/m³

a b c (Å): 4.071 4.071 5.833
angles (deg): 90.00 90.00 90.00
Element x y z (fractional)
Y  0.000  0.000  0.901
Ir  0.500  0.500  0.864
As  0.000  0.000  0.399
Y  0.500  0.500  0.336

***

4.
RbAgRuRh2 | PBE | optimized geometry

Summary:
* total magnetic moment: 4.3 μB/f.u.
* calculated volume: 26.97 A^3/atom
* crystal system: tetragonal
* E_tot: -3.483 eV/atom
* calculated density: 6.2 Mg/m³

a b c (Å): 4.991 5.413 4.991
angles (deg): 90.00 90.00 90.00
Site moments in Bohr magnetons follow the coordinates.
Element x y z (fractional)
Rh  0.500  0.000  0.000  0.69
Rb  0.000  0.500  0.000  0.00
Ru  0.500  0.500  0.500  2.55
Rh  0.000  0.000  0.500  0.79
Ag  0.000  0.000  0.000  0.03

***

5.
Dy2Ga5Ir3 | PBE | optimized geometry

Summary:
* total magnetic moment: 0.0 μB/f.u.
* calculated volume: 18.05 A^3/atom
* crystal system: orthorhombic
* E_tot: -5.790 eV/atom
* calculated density: 11.5 Mg/m³

a b c (Å): 4.299 6.846 12.453
angles (deg): 90.00 99.94 90.00
Element x y z (fractional)
Ga  0.706  0.398  0.412
Ga  0.601  0.909  0.203
Ga  0.710  0.999  0.419
Ga  0.125  0.261  0.250
Ga  0.399  0.409  0.797
Dy  0.176  0.710  0.353
Ga  0.948  0.101  0.896
Ga  0.290  0.499  0.581
Dy  0.824  0.210  0.647
Ga  0.052  0.601  0.104
Ga  0.294  0.898  0.588
Ir  0.050  0.988  0.100
Ir  0.227  0.195  0.455
Dy  0.479  0.773  0.958
Ir  0.392  0.029  0.783
Ir  0.950  0.488  0.900
Ga  0.875  0.761  0.750
Ir  0.773  0.695  0.545
Dy  0.521  0.273  0.042
Ir  0.608  0.529  0.217

***

6.
Ca2C | PBE | optimized geometry

Summary:
* total magnetic moment: 0.7 μB/f.u.
* E above lowest polymorph: 541 meV per atom
* calculated volume: 25.45 A^3/atom
* crystal system: orthorhombic
* E_tot: -3.834 eV/atom
* calculated density: 2.0 Mg/m³

a b c (Å): 11.248 11.248 3.769
angles (deg): 90.00 90.00 161.32
Site moments in Bohr magnetons follow the coordinates.
Element x y z (fractional)
Ca  0.925  0.075  0.750  0.02
Ca  0.075  0.925  0.250  0.02
Ca  0.696  0.304  0.750  0.04
C  0.819  0.181  0.750  0.31
Ca  0.304  0.696  0.250  0.04
C  0.181  0.819  0.250  0.31

***

7.
CoHg4Ru | PBE | optimized geometry

Summary:
* total magnetic moment: 3.5 μB/f.u.
* calculated volume: 20.53 A^3/atom
* crystal system: cubic
* E_tot: -1.939 eV/atom
* calculated density: 13.0 Mg/m³

a b c (Å): 5.585 5.585 5.585
angles (deg): 60.00 60.00 60.00
Site moments in Bohr magnetons follow the coordinates.
Element x y z (fractional)
Hg  0.375  0.375  0.375  -0.02
Ru  0.750  0.750  0.750  1.71
Co  0.000  0.000  0.000  1.93
Hg  0.375  0.375  0.875  -0.02
Hg  0.375  0.875  0.375  -0.02
Hg  0.875  0.375  0.375  -0.02

***

8.
BeTc2Os | PBE | optimized geometry

Summary:
* total magnetic moment: 0.0 μB/f.u.
* calculated volume: 13.00 A^3/atom
* crystal system: orthorhombic
* E_tot: -8.942 eV/atom
* calculated density: 12.6 Mg/m³

a b c (Å): 4.925 4.925 4.151
angles (deg): 65.04 65.04 35.19
Element x y z (fractional)
Be  0.750  0.750  0.750
Os  0.250  0.250  0.250
Tc  0.486  0.486  0.514
Tc  0.014  0.014  0.986